(1)
Computed, not measured: TbTm2Sc3Se6 after structural relaxation at the PBE level of DFT.

Unit cell a=6.8625 b=6.8625 c=6.8661 alpha=99.52 beta=99.52 gamma=120.22
With the nearest neighbours (Å) after each atom.
Sites, in units of the cell vectors:
1 Tb 0.0000 0.0000 0.0000  6 Se 2.86-2.89
2 Tm 0.3342 0.6658 0.0000  6 Se 2.82-2.84
3 Tm 0.6658 0.3342 0.0000  6 Se 2.82-2.84
4 Sc 0.1602 0.8398 0.5000  6 Se 2.73-2.77
5 Sc 0.5000 0.5000 0.5000  6 Se 2.73-2.77
6 Sc 0.8398 0.1602 0.5000  6 Se 2.73-2.77
7 Se 0.0873 0.4270 0.2634  3 Sc 2.76-2.77, 2 Tm 2.83-2.84, 1 Tb 2.89
8 Se 0.2523 0.2523 0.7402  3 Sc 2.73, 2 Tm 2.82, 1 Tb 2.86
9 Se 0.4270 0.0873 0.2634  3 Sc 2.76-2.77, 2 Tm 2.83-2.84, 1 Tb 2.89
10 Se 0.5730 0.9127 0.7366  3 Sc 2.76-2.77, 2 Tm 2.83-2.84, 1 Tb 2.89
11 Se 0.7477 0.7477 0.2598  3 Sc 2.73, 2 Tm 2.82, 1 Tb 2.86
12 Se 0.9127 0.5730 0.7366  3 Sc 2.76-2.77, 2 Tm 2.83-2.84, 1 Tb 2.89

Summary:
**Crystal system**: monoclinic
**Total magnetic moment**: 0.000 Bohr magnetons per cell
**D(E_F)**: 6.15 states/eV per cell
**Raw total energy**: -73.21 eV/cell
**Density**: 6.96 g/cm3

(2)
Computed, not measured: Y3Si2Ni7 after structural relaxation at the PBE level of DFT.

Unit cell a=8.3251 b=8.3251 c=8.3251 alpha=35.97 beta=35.97 gamma=35.97
With the nearest neighbours (Å) after each atom.
Sites, in units of the cell vectors:
1 Y 0.0000 0.0000 0.0000  6 Si 2.97, 12 Ni 3.14, 2 Y 3.30
2 Y 0.1415 0.1415 0.1415  12 Ni 2.97-3.06, 4 Y 3.19-3.30
3 Y 0.8585 0.8585 0.8585  12 Ni 2.97-3.06, 4 Y 3.19-3.30
4 Si 0.3320 0.3320 0.3320  6 Ni 2.33-2.35
5 Si 0.6680 0.6680 0.6680  6 Ni 2.33-2.35
6 Ni 0.0808 0.5759 0.5759  2 Si 2.33-2.35, 5 Ni 2.55-2.60
7 Ni 0.4241 0.4241 0.9192  2 Si 2.33-2.35, 5 Ni 2.55-2.60
8 Ni 0.4241 0.9192 0.4241  2 Si 2.33-2.35, 5 Ni 2.55-2.60
9 Ni 0.5000 0.5000 0.5000  6 Ni 2.55
10 Ni 0.5759 0.0808 0.5759  2 Si 2.33-2.35, 5 Ni 2.55-2.60
11 Ni 0.5759 0.5759 0.0808  2 Si 2.33-2.35, 5 Ni 2.55-2.60
12 Ni 0.9192 0.4241 0.4241  2 Si 2.33-2.35, 5 Ni 2.55-2.60

Summary:
**Crystal system**: trigonal
**Total magnetic moment**: 0.000 Bohr magnetons per cell
**D(E_F)**: 9.19 states/eV per cell
**Raw total energy**: -77.71 eV/cell
**Density**: 6.84 g/cm3

(3)
Computed, not measured: RbScP2O after structural relaxation at the PBE level of DFT.

Unit cell a=5.1742 b=5.1742 c=4.2354 alpha=90.00 beta=90.00 gamma=90.00
With the nearest neighbours (Å) after each atom.
Sites, in units of the cell vectors:
1 Rb 0.0000 0.0000 0.0000  2 O 2.12
2 Sc 0.5000 0.5000 0.5000  8 P 3.34, 4 O 3.66
3 P 0.0000 0.5000 0.0000  2 Rb 2.59
4 P 0.5000 0.0000 0.0000  2 Rb 2.59
5 O 0.0000 0.0000 0.5000  2 Rb 2.12

Summary:
**Crystal system**: tetragonal
**Total magnetic moment**: 0.021 Bohr magnetons per cell
**D(E_F)**: 4.39 states/eV per cell
**Relative energy among the computed polymorphs**: 1596.0 meV per atom
**Density**: 3.05 g/cm3

(4)
Computed, not measured: La3TbGe4 after structural relaxation at the PBE level of DFT.

Unit cell a=9.1817 b=9.1817 c=9.1817 alpha=153.06 beta=138.49 gamma=50.19
With the nearest neighbours (Å) after each atom.
Sites, in units of the cell vectors:
1 La 0.0000 0.0000 0.0000  8 Ge 3.27
2 La 0.3028 0.8028 0.5000  6 Ge 3.15-3.17
3 La 0.6972 0.1972 0.5000  6 Ge 3.15-3.17
4 Tb 0.5000 0.5000 0.0000  4 Ge 2.92
5 Ge 0.0647 0.3721 0.6926  1 Ge 2.51
6 Ge 0.3206 0.6279 0.6926  1 Ge 2.51
7 Ge 0.6794 0.3721 0.3074  1 Ge 2.51
8 Ge 0.9353 0.6279 0.3074  1 Ge 2.51

Summary:
**Crystal system**: orthorhombic
**ΔH_f (0 K)**: -5.620 eV per formula unit
**Total magnetic moment**: 0.344 Bohr magnetons per cell
**D(E_F)**: 8.99 states/eV per cell
**Density**: 6.21 g/cm3

(5)
Computed, not measured: AcPr4Nd4 after structural relaxation at the PBE level of DFT.

Unit cell a=8.3465 b=8.3465 c=8.3465 alpha=95.73 beta=95.73 gamma=143.15
With the nearest neighbours (Å) after each atom.
Sites, in units of the cell vectors:
1 Ac 0.0000 0.0000 0.0000  4 Pr 3.75, 8 Nd 3.76
2 Pr 0.0000 0.3349 0.3349  5 Pr 3.70-3.71, 6 Nd 3.70-3.74, 1 Ac 3.75
3 Pr 0.0000 0.6651 0.6651  5 Pr 3.70-3.71, 6 Nd 3.70-3.74, 1 Ac 3.75
4 Pr 0.3349 0.0000 0.3349  5 Pr 3.70-3.71, 6 Nd 3.70-3.74, 1 Ac 3.75
5 Pr 0.6651 0.0000 0.6651  5 Pr 3.70-3.71, 6 Nd 3.70-3.74, 1 Ac 3.75
6 Nd 0.3308 0.3308 0.6615  4 Nd 3.67-3.79, 6 Pr 3.70-3.74, 2 Ac 3.76
7 Nd 0.3308 0.6692 0.0000  4 Nd 3.67-3.79, 6 Pr 3.70-3.74, 2 Ac 3.76
8 Nd 0.6692 0.3308 0.0000  4 Nd 3.67-3.79, 6 Pr 3.70-3.74, 2 Ac 3.76
9 Nd 0.6692 0.6692 0.3385  4 Nd 3.67-3.79, 6 Pr 3.70-3.74, 2 Ac 3.76

Summary:
**Crystal system**: tetragonal
**ΔH_f (0 K)**: 0.165 eV per formula unit
**Total magnetic moment**: 0.000 Bohr magnetons per cell
**D(E_F)**: 15.76 states/eV per cell
**Density**: 6.87 g/cm3

(6)
Computed, not measured: La5PrSm3 after structural relaxation at the PBE level of DFT.

Unit cell a=10.8862 b=10.8862 c=11.7645 alpha=120.50 beta=120.50 gamma=34.26
With the nearest neighbours (Å) after each atom.
Sites, in units of the cell vectors:
1 La 0.0458 0.6693 0.3408  2 Sm 3.22-3.53
2 La 0.0932 0.9068 0.7500  2 Pr 3.05-3.36
3 La 0.1257 0.5166 0.6603  5 La 3.41-3.73, 2 Sm 3.56-3.69
4 La 0.3307 0.9542 0.1592  2 Sm 3.22-3.53
5 La 0.4834 0.8743 0.8397  5 La 3.41-3.73, 2 Sm 3.56-3.69
6 La 0.5166 0.1257 0.1603  5 La 3.41-3.73, 2 Sm 3.56-3.69
7 La 0.6693 0.0458 0.8408  2 Sm 3.22-3.53
8 La 0.8743 0.4834 0.3397  5 La 3.41-3.73, 2 Sm 3.56-3.69
9 La 0.9068 0.0932 0.2500  2 Pr 3.05-3.36
10 La 0.9542 0.3307 0.6592  2 Sm 3.22-3.53
11 Pr 0.3828 0.6172 0.2500  2 Sm 3.04, 2 La 3.05-3.36
12 Pr 0.6172 0.3828 0.7500  2 Sm 3.04, 2 La 3.05-3.36
13 Sm 0.0836 0.5647 0.9761  1 Sm 3.42, 1 Pr 3.45, 4 La 3.53-3.69
14 Sm 0.4353 0.9164 0.5239  1 Sm 3.42, 1 Pr 3.45, 4 La 3.53-3.69
15 Sm 0.5000 0.5000 0.0000  2 Pr 3.04, 2 La 3.22
16 Sm 0.5000 0.5000 0.5000  2 Pr 3.04, 2 La 3.22
17 Sm 0.5647 0.0836 0.4761  1 Sm 3.42, 1 Pr 3.45, 4 La 3.53-3.69
18 Sm 0.9164 0.4353 0.0239  1 Sm 3.42, 1 Pr 3.45, 4 La 3.53-3.69

Summary:
**Crystal system**: monoclinic
**ΔH_f (0 K)**: 2.126 eV per formula unit
**Total magnetic moment**: 0.000 Bohr magnetons per cell
**D(E_F)**: 27.42 states/eV per cell
**Relative energy among the computed polymorphs**: 0.0 meV per atom
**Density**: 6.43 g/cm3

(7)
Computed, not measured: BaNpIn2I8 after structural relaxation at the PBE level of DFT.

Unit cell a=7.6165 b=9.8629 c=8.0619 alpha=90.00 beta=91.07 gamma=90.00
With the nearest neighbours (Å) after each atom.
Sites, in units of the cell vectors:
1 Ba 0.0000 0.0000 0.0000  6 I 3.43-3.51
2 Np 0.0000 0.5000 0.0000  6 I 2.98-3.06
3 In 0.5000 0.2511 0.5000  6 I 3.27-3.60
4 In 0.5000 0.7489 0.5000  6 I 3.27-3.60
5 I 0.2128 0.5000 0.3134  1 Np 2.98
6 I 0.2386 0.2806 0.8596  1 Np 3.06
7 I 0.2386 0.7194 0.8596  1 Np 3.06
8 I 0.2670 0.0000 0.3480  2 In 3.27, 1 Ba 3.43
9 I 0.7330 0.0000 0.6520  2 In 3.27, 1 Ba 3.43
10 I 0.7614 0.2806 0.1404  1 Np 3.06
11 I 0.7614 0.7194 0.1404  1 Np 3.06
12 I 0.7872 0.5000 0.6866  1 Np 2.98

Summary:
**Crystal system**: monoclinic
**Total magnetic moment**: 2.977 Bohr magnetons per cell
**D(E_F)**: 4.30 states/eV per cell
**Raw total energy**: -43.52 eV/cell
**Density**: 4.44 g/cm3

(8)
Computed, not measured: BaLi2Si2 after structural relaxation at the PBE level of DFT.

Unit cell a=8.3315 b=8.3315 c=3.0132 alpha=90.00 beta=90.00 gamma=90.00
With the nearest neighbours (Å) after each atom.
Sites, in units of the cell vectors:
1 Ba 0.0000 0.0000 0.0000  2 Ba 3.01, 4 Li 3.33
2 Ba 0.5000 0.5000 0.0000  2 Ba 3.01, 4 Li 3.33
3 Li 0.1179 0.3821 0.0000  3 Li 2.78-3.01, 6 Si 2.83-2.96
4 Li 0.3821 0.8821 0.0000  3 Li 2.78-3.01, 6 Si 2.83-2.96
5 Li 0.6179 0.1179 0.0000  3 Li 2.78-3.01, 6 Si 2.83-2.96
6 Li 0.8821 0.6179 0.0000  3 Li 2.78-3.01, 6 Si 2.83-2.96
7 Si 0.1658 0.6657 0.5000  6 Li 2.83-2.96, 2 Si 3.01
8 Si 0.3342 0.1658 0.5000  6 Li 2.83-2.96, 2 Si 3.01
9 Si 0.6657 0.8342 0.5000  6 Li 2.83-2.96, 2 Si 3.01
10 Si 0.8342 0.3342 0.5000  6 Li 2.83-2.96, 2 Si 3.01

Summary:
**Crystal system**: tetragonal
**Total magnetic moment**: 0.000 Bohr magnetons per cell
**D(E_F)**: 4.31 states/eV per cell
**Relative energy among the computed polymorphs**: 238.8 meV per atom
**Density**: 3.29 g/cm3

(9)
Computed, not measured: PrScGaRh after structural relaxation at the PBE level of DFT.

Unit cell a=4.9413 b=4.9413 c=4.9413 alpha=60.00 beta=60.00 gamma=60.00
With the nearest neighbours (Å) after each atom.
Sites, in units of the cell vectors:
1 Pr 0.0000 0.0000 0.0000  4 Ga 3.03, 4 Rh 3.03
2 Sc 0.5000 0.5000 0.5000  4 Rh 3.03, 4 Ga 3.03
3 Ga 0.7500 0.7500 0.7500  4 Pr 3.03, 4 Sc 3.03
4 Rh 0.2500 0.2500 0.2500  4 Pr 3.03, 4 Sc 3.03

Summary:
**Crystal system**: cubic
**ΔH_f (0 K)**: -2.232 eV per formula unit
**Total magnetic moment**: 0.000 Bohr magnetons per cell
**D(E_F)**: 3.69 states/eV per cell
**Density**: 6.98 g/cm3

(10)
Computed, not measured: Ac2SbPd6 after structural relaxation at the PBE level of DFT.

Unit cell a=6.0134 b=6.0134 c=6.1365 alpha=90.01 beta=90.01 gamma=59.97
With the nearest neighbours (Å) after each atom.
Sites, in units of the cell vectors:
1 Ac 0.1671 0.1671 0.3092  9 Pd 3.11-3.41
2 Ac 0.8329 0.8329 0.6908  9 Pd 3.11-3.41
3 Sb 0.5000 0.5000 0.5000  6 Pd 2.69
4 Pd 0.1479 0.6766 0.1783  1 Sb 2.69, 4 Pd 2.83-2.87
5 Pd 0.3230 0.3230 0.8198  1 Sb 2.69, 4 Pd 2.83-2.87
6 Pd 0.3234 0.8521 0.8217  1 Sb 2.69, 4 Pd 2.83-2.87
7 Pd 0.6766 0.1479 0.1783  1 Sb 2.69, 4 Pd 2.83-2.87
8 Pd 0.6770 0.6770 0.1802  1 Sb 2.69, 4 Pd 2.83-2.87
9 Pd 0.8521 0.3234 0.8217  1 Sb 2.69, 4 Pd 2.83-2.87

Summary:
**Crystal system**: monoclinic
**Total magnetic moment**: 0.000 Bohr magnetons per cell
**D(E_F)**: 6.29 states/eV per cell
**Raw total energy**: -50.35 eV/cell
**Density**: 10.50 g/cm3

(11)
Computed, not measured: La2BiRhN after structural relaxation at the PBE level of DFT.

Unit cell a=5.4326 b=5.4326 c=3.9707 alpha=90.00 beta=90.00 gamma=90.00
With the nearest neighbours (Å) after each atom.
Sites, in units of the cell vectors:
1 La 0.0000 0.5000 0.0000  2 N 2.72
2 La 0.5000 0.0000 0.0000  2 N 2.72
3 Bi 0.0000 0.0000 0.5000  8 La 3.36
4 Rh 0.5000 0.5000 0.5000  2 N 1.99
5 N 0.5000 0.5000 0.0000  2 Rh 1.99

Summary:
**Crystal system**: tetragonal
**Total magnetic moment**: 0.002 Bohr magnetons per cell
**D(E_F)**: 1.93 states/eV per cell
**Raw total energy**: -33.59 eV/cell
**Density**: 8.55 g/cm3

(12)
Computed, not measured: ZnH2W2 after structural relaxation at the PBE level of DFT.

Unit cell a=5.1208 b=5.1208 c=5.1208 alpha=141.53 beta=141.53 gamma=55.54
With the nearest neighbours (Å) after each atom.
Sites, in units of the cell vectors:
1 Zn 0.0000 0.0000 0.0000  8 W 2.77, 8 H 2.82
2 H 0.2500 0.7500 0.5000  4 W 1.89
3 H 0.7500 0.2500 0.5000  4 W 1.89
4 W 0.3441 0.3441 0.0000  4 H 1.89
5 W 0.6559 0.6559 0.0000  4 H 1.89

Summary:
**Crystal system**: tetragonal
**Total magnetic moment**: 0.000 Bohr magnetons per cell
**D(E_F)**: 1.06 states/eV per cell
**Raw total energy**: -32.43 eV/cell
**Density**: 14.01 g/cm3

(13)
Computed, not measured: MnFe2Br after structural relaxation at the PBE level of DFT.

Unit cell a=3.1647 b=3.0274 c=6.5048 alpha=90.00 beta=90.18 gamma=90.00
With the nearest neighbours (Å) after each atom.
Sites, in units of the cell vectors:
1 Mn 0.0000 0.0000 0.0000  8 Fe 2.48
2 Fe 0.4989 0.5000 0.8208  1 Fe 2.33, 4 Mn 2.48, 2 Br 2.58
3 Fe 0.5011 0.5000 0.1792  1 Fe 2.33, 4 Mn 2.48, 2 Br 2.58
4 Br 0.5000 0.0000 0.5000  4 Fe 2.58

Summary:
**Crystal system**: monoclinic
**Total magnetic moment**: 6.318 Bohr magnetons per cell
**D(E_F)**: 4.57 states/eV per cell
**Relative energy among the computed polymorphs**: 132.0 meV per atom
**Density**: 6.57 g/cm3